The following is a GGA-PBE calculation of a geometry-optimized K2MgTi3O8 structure, from the Alexandria database.

Cell and atoms, written as POSCAR:
```
K2MgTi3O8
1.0
-2.477 1.357 -5.325
2.023 -2.643 -5.026
-4.467 -5.225 -2.665
O Ti Mg K
8 3 1 2
direct
0.710 0.710 0.869 O
0.694 0.214 0.878 O
0.214 0.214 0.878 O
0.271 0.271 0.188 O
0.214 0.694 0.878 O
0.758 0.758 0.191 O
0.293 0.758 0.191 O
0.758 0.293 0.191 O
0.491 0.988 0.030 Ti
0.491 0.491 0.030 Ti
0.988 0.491 0.030 Ti
0.979 0.979 0.062 Mg
0.490 0.490 0.529 K
0.141 0.141 0.577 K
```

Final energy = -7.52 eV per atom
Energy relative to the elements, uncorrected = -2.7207 eV per atom
V = 204.5 Å³/cell